A relaxed Ho3PuHg12 crystal, computed with PBE-GGA.

Cell: 4.5498 4.5503 19.0380 Å, 90.00 90.00 90.00°
Closest atoms and distances in Å follow each position.
Sites, in units of the cell vectors:
Ho (0.0000, 0.0000, 0.2524)  12 Hg 3.22-3.28
Ho (0.0000, 0.0000, 0.5000)  12 Hg 3.22-3.27
Ho (0.0000, 0.0000, 0.7476)  12 Hg 3.22-3.28
Pu (0.0000, 0.0000, 0.0000)  12 Hg 3.22-3.34
Hg (0.5000, 0.5000, 0.0000)  4 Pu 3.22, 8 Hg 3.34
Hg (0.5000, 0.5000, 0.2530)  4 Ho 3.22, 8 Hg 3.27-3.29
Hg (0.5000, 0.5000, 0.5000)  4 Ho 3.22, 8 Hg 3.27
Hg (0.5000, 0.5000, 0.7470)  4 Ho 3.22, 8 Hg 3.27-3.29
Hg (0.5000, 0.0000, 0.1285)  8 Hg 3.22-3.34, 2 Ho 3.28, 2 Pu 3.34
Hg (0.5000, 0.0000, 0.3763)  8 Hg 3.22-3.27, 4 Ho 3.27-3.28
Hg (0.5000, 0.0000, 0.6237)  8 Hg 3.22-3.27, 4 Ho 3.27-3.28
Hg (0.5000, 0.0000, 0.8715)  8 Hg 3.22-3.34, 2 Ho 3.28, 2 Pu 3.34
Hg (0.0000, 0.5000, 0.1285)  8 Hg 3.22-3.34, 2 Ho 3.28, 2 Pu 3.34
Hg (0.0000, 0.5000, 0.3763)  8 Hg 3.22-3.27, 4 Ho 3.27-3.28
Hg (0.0000, 0.5000, 0.6237)  8 Hg 3.22-3.27, 4 Ho 3.27-3.28
Hg (0.0000, 0.5000, 0.8715)  8 Hg 3.22-3.34, 2 Ho 3.28, 2 Pu 3.34

## Properties
**Formation energy from the elements**: -244 meV per atom
**Density of states at the Fermi level**: 1.504 states/eV per atom
**Calculated total energy**: -35.60 eV for the cell shown


A relaxed HoPuSiHg crystal, computed with PBE-GGA.

Cell: 5.1243 5.1243 5.1243 Å, 60.00 60.00 60.00°
Closest atoms and distances in Å follow each position.
Sites, in units of the cell vectors:
Ho (0.7500, 0.7500, 0.7500)  4 Hg 3.14, 4 Si 3.14
Si (0.5000, 0.5000, 0.5000)  4 Pu 3.14, 4 Ho 3.14
Hg (0.0000, 0.0000, 0.0000)  4 Ho 3.14, 4 Pu 3.14
Pu (0.2500, 0.2500, 0.2500)  4 Hg 3.14, 4 Si 3.14

## Properties
**Density of states at the Fermi level**: 2.444 states/eV per atom
**Formation energy without anion corrections**: -0.301 eV per atom
**Calculated total energy**: -25.84 eV for the cell shown


A relaxed HoPuThHg crystal, computed with PBE-GGA.

Cell: 5.3611 5.3611 5.3611 Å, 60.00 60.00 60.00°
Closest atoms and distances in Å follow each position.
Sites, in units of the cell vectors:
Ho (0.0000, 0.0000, 0.0000)  4 Pu 3.28, 4 Hg 3.28
Hg (0.2500, 0.2500, 0.2500)  4 Ho 3.28, 4 Th 3.28
Th (0.5000, 0.5000, 0.5000)  4 Hg 3.28, 4 Pu 3.28
Pu (0.7500, 0.7500, 0.7500)  4 Ho 3.28, 4 Th 3.28

## Properties
**Formation energy from the elements**: 52 meV per atom
**Density of states at the Fermi level**: 4.350 states/eV per atom
**Calculated total energy**: -26.42 eV for the cell shown


A relaxed HoPuTlHg crystal, computed with PBE-GGA.

Cell: 5.3402 5.3402 5.3402 Å, 60.00 60.00 60.00°
Closest atoms and distances in Å follow each position.
Sites, in units of the cell vectors:
Ho (0.7500, 0.7500, 0.7500)  4 Hg 3.27, 4 Tl 3.27
Tl (0.5000, 0.5000, 0.5000)  4 Ho 3.27, 4 Pu 3.27
Hg (0.0000, 0.0000, 0.0000)  4 Ho 3.27, 4 Pu 3.27
Pu (0.2500, 0.2500, 0.2500)  4 Hg 3.27, 4 Tl 3.27

## Properties
**Formation energy from the elements**: -206 meV per atom
**Density of states at the Fermi level**: 2.570 states/eV per atom
**Calculated total energy**: -22.40 eV for the cell shown
**Polymorph energy (0 for the lowest one)**: 0.018 eV/atom


A relaxed Ho2PuTlHg4 crystal, computed with PBE-GGA.

Cell: 5.2003 5.2003 9.3138 Å, 73.79 73.79 60.00°
Closest atoms and distances in Å follow each position.
Sites, in units of the cell vectors:
Ho (0.7550, 0.7550, 0.7351)  8 Hg 3.13-3.35
Ho (0.2450, 0.2450, 0.2649)  8 Hg 3.13-3.35
Pu (0.0000, 0.0000, 0.0000)  8 Hg 3.17-3.21
Tl (0.5000, 0.5000, 0.5000)  8 Hg 3.23-3.40
Hg (0.3716, 0.3716, 0.8852)  3 Pu 3.17, 4 Ho 3.28-3.35, 1 Tl 3.40
Hg (0.8788, 0.8788, 0.3635)  4 Ho 3.13-3.28, 1 Pu 3.21, 3 Tl 3.23
Hg (0.1212, 0.1212, 0.6365)  4 Ho 3.13-3.28, 1 Pu 3.21, 3 Tl 3.23
Hg (0.6284, 0.6284, 0.1148)  3 Pu 3.17, 4 Ho 3.28-3.35, 1 Tl 3.40

## Properties
**Formation energy from the elements**: -257 meV per atom
**Density of states at the Fermi level**: 1.424 states/eV per atom
**Calculated total energy**: -29.12 eV for the cell shown


A relaxed HoPuTlHg crystal, computed with PBE-GGA.

Cell: 3.6708 3.6708 7.9489 Å, 90.00 90.00 90.00°
Closest atoms and distances in Å follow each position.
Sites, in units of the cell vectors:
Ho (0.0000, 0.0000, 0.8464)  4 Hg 3.15, 4 Tl 3.26
Pu (0.0000, 0.0000, 0.3635)  4 Hg 3.32, 4 Tl 3.36, 4 Pu 3.67
Tl (0.5000, 0.5000, 0.0950)  4 Ho 3.26, 4 Pu 3.36
Hg (0.5000, 0.5000, 0.6230)  4 Ho 3.15, 4 Pu 3.32

## Properties
**Formation energy from the elements**: -224 meV per atom
**Density of states at the Fermi level**: 2.285 states/eV per atom
**Calculated total energy**: -22.47 eV for the cell shown
**Polymorph energy (0 for the lowest one)**: 0.000 eV/atom


A relaxed HoPuZnHg crystal, computed with PBE-GGA.

Cell: 5.1831 5.1831 5.1831 Å, 60.00 60.00 60.00°
Closest atoms and distances in Å follow each position.
Sites, in units of the cell vectors:
Ho (0.7500, 0.7500, 0.7500)  4 Hg 3.17, 4 Zn 3.17
Zn (0.0000, 0.0000, 0.0000)  4 Ho 3.17, 4 Pu 3.17
Hg (0.5000, 0.5000, 0.5000)  4 Ho 3.17, 4 Pu 3.17
Pu (0.2500, 0.2500, 0.2500)  4 Hg 3.17, 4 Zn 3.17

## Properties
**Formation energy from the elements**: -196 meV per atom
**Density of states at the Fermi level**: 2.240 states/eV per atom
**Calculated total energy**: -21.27 eV for the cell shown


A relaxed RbHoHg2 crystal, computed with PBE-GGA.

Cell: 3.8378 3.8378 8.6210 Å, 90.00 90.00 90.00°
Closest atoms and distances in Å follow each position.
Sites, in units of the cell vectors:
Hg (0.0000, 0.0000, 0.8089)  4 Ho 3.17, 1 Hg 3.30
Hg (0.0000, 0.0000, 0.1911)  4 Ho 3.17, 1 Hg 3.30
Rb (0.5000, 0.5000, 0.5000)  8 Hg 3.80, 4 Rb 3.84
Ho (0.5000, 0.5000, 0.0000)  8 Hg 3.17

## Properties
**Formation energy from the elements**: -245 meV per atom
**Density of states at the Fermi level**: 0.948 states/eV per atom
**Calculated total energy**: -7.13 eV for the cell shown
**Polymorph energy (0 for the lowest one)**: 0.000 eV/atom


A relaxed RbHoHgSe3 crystal, computed with PBE-GGA.

Cell: 4.2727 9.1214 10.4251 Å, 109.08 90.00 90.00°
Closest atoms and distances in Å follow each position.
Sites, in units of the cell vectors:
Rb (0.2500, 0.2219, 0.2471)  7 Se 3.48-3.79
Rb (0.7500, 0.7781, 0.7529)  7 Se 3.48-3.79
Ho (0.2500, 0.6705, 0.1350)  6 Se 2.80-3.10
Ho (0.7500, 0.3295, 0.8650)  6 Se 2.80-3.10
Hg (0.2500, 0.0889, 0.6149)  4 Se 2.62-2.92
Hg (0.7500, 0.9111, 0.3851)  4 Se 2.62-2.92
Se (0.7500, 0.8877, 0.1274)  1 Hg 2.62, 2 Ho 2.93
Se (0.2500, 0.1123, 0.8726)  1 Hg 2.62, 2 Ho 2.93
Se (0.2500, 0.7622, 0.4484)  3 Hg 2.73-2.92
Se (0.7500, 0.2378, 0.5516)  3 Hg 2.73-2.92
Se (0.7500, 0.4660, 0.1479)  3 Ho 2.80-2.87
Se (0.2500, 0.5340, 0.8521)  3 Ho 2.80-2.87

## Properties
**Formation energy without anion corrections**: -1.195 eV per atom
**Calculated total energy**: -46.94 eV for the cell shown


A relaxed Rb2HoHg2Te4 crystal, computed with PBE-GGA.

Cell: 4.5098 9.0082 9.0917 Å, 112.49 104.36 90.00°
Closest atoms and distances in Å follow each position.
Sites, in units of the cell vectors:
Rb (0.1294, 0.5811, 0.2588)  7 Te 3.75-3.92, 1 Hg 3.84
Rb (0.8706, 0.4189, 0.7412)  7 Te 3.75-3.92, 1 Hg 3.84
Ho (0.0000, 0.0000, 0.0000)  6 Te 3.08-3.13
Hg (0.6871, 0.0062, 0.3742)  3 Te 2.91-2.98, 2 Hg 3.19
Hg (0.3129, 0.9938, 0.6258)  3 Te 2.91-2.98, 2 Hg 3.19
Te (0.1856, 0.2207, 0.3712)  2 Hg 2.98, 1 Ho 3.08
Te (0.8144, 0.7793, 0.6288)  2 Hg 2.98, 1 Ho 3.08
Te (0.5162, 0.7733, 0.0323)  1 Hg 2.91, 2 Ho 3.13
Te (0.4838, 0.2267, 0.9677)  1 Hg 2.91, 2 Ho 3.13

## Properties
**Density of states at the Fermi level**: 0.430 states/eV per atom
**Formation energy without anion corrections**: -0.783 eV per atom
**Calculated total energy**: -26.73 eV for the cell shown